(1)
Compound: CaCdSn
Source: the Alexandria database
Functional: GGA-PBE
Structure: relaxed

Cell lengths 4.990, 4.990, 3.713 Å; angles 90.00, 90.00, 120.00 degrees
Sites, in units of the cell vectors:
Ca  0.000  0.000  0.000
Cd  0.333  0.667  0.502
Sn  0.667  0.333  0.499

- calculated formation energy (eV per atom) = -0.426



(2)
Compound: BaMgCd2Sn
Source: the Alexandria database
Functional: GGA-PBE
Structure: relaxed

Cell lengths 7.242, 7.242, 7.242 Å; angles 141.37, 141.36, 55.79 degrees
Sites, in units of the cell vectors:
Ba  0.000  0.000  0.000
Mg  0.256  0.756  0.500
Cd  0.619  0.619  0.000
Cd  0.753  0.253  0.500
Sn  0.392  0.392  0.000

- calculated formation energy (eV per atom) = -0.387



(3)
Compound: SrZnSb
Source: the Alexandria database
Functional: GGA-PBE
Structure: relaxed

Cell lengths 5.581, 5.581, 8.093 Å; angles 105.78, 105.78, 48.47 degrees
Sites, in units of the cell vectors:
Sr  0.000  0.000  0.000
Sr  0.500  0.500  0.500
Zn  0.167  0.167  0.387
Zn  0.833  0.833  0.613
Sb  0.247  0.247  0.753
Sb  0.753  0.753  0.247

- energy above the lowest structure with this stoichiometry (meV/atom) = 155.6
- formation energy from raw total energies (eV/atom) = -0.49



Number 1: spin magnetization 0.00 μB per atom, total energy -2.733 eV per atom. Number 2: spin magnetization 0.00 μB per atom, total energy -2.257 eV per atom. Number 3: spin magnetization 0.00 μB per atom, total energy -2.853 eV per atom.